Record 1
ReIrSe2: relaxed, GGA-PBEsol.

Unit cell a=3.0204 b=5.0341 c=5.6528 alpha=96.58 beta=90.00 gamma=107.46
With the nearest neighbours (Å) after each atom.
Fractional positions:
Se: 0.2835 0.5670 0.6880  2 Re 2.42, 1 Ir 2.50
Se: 0.0547 0.1093 0.0879  2 Ir 2.52, 2 Re 2.56
Ir: 0.4420 0.8841 0.3671  3 Se 2.50-2.52, 3 Re 2.61-2.68
Re: 0.7198 0.4396 0.3570  4 Se 2.42-2.56, 3 Ir 2.61-2.68

Values from the calculation:
* formation energy without anion corrections: 26 kJ per mole of atoms
* polymorph energy (0 for the lowest one): 9.8 kJ per mole of atoms
* electronic total energy: -7.444 eV per atom
* V: 81.4 Å³/cell


Record 2
ReIrSe2: relaxed, GGA-PBEsol.

Unit cell a=3.1835 b=3.1835 c=8.2423 alpha=78.87 beta=78.87 gamma=60.00
With the nearest neighbours (Å) after each atom.
Fractional positions:
Se: 0.9027 0.9027 0.2919  1 Re 2.35, 3 Ir 2.48
Se: 0.0973 0.0973 0.7081  1 Re 2.35, 3 Ir 2.48
Re: 0.0000 0.0000 0.0000  2 Se 2.35
Ir: 0.5000 0.5000 0.5000  6 Se 2.48

Values from the calculation:
* formation energy without anion corrections: 63 kJ per mole of atoms
* polymorph energy (0 for the lowest one): 47.1 kJ per mole of atoms
* electronic total energy: -7.057 eV per atom
* V: 70.5 Å³/cell


Look up the V of the first one. 81.4 Å³/cell


Number 1 is which compound? ReIrSe2